The following is a DFT calculation (PBE+U) of a relaxed structure of Ba2VInF6.

Results
- Total DFT energy (no corrections): -53.516 eV/f.u.
- Symmetry: Pmmn (59)
- D(E_F): 0.17 states/eV/atom

a b c (Å): 5.987 8.526 8.356
angles (deg): 90.00 90.00 90.00
Positions (direct):
Ba: 0.500 0.837 0.234
Ba: 0.000 0.163 0.734
Ba: 0.500 0.837 0.766
Ba: 0.000 0.163 0.266
V: 0.500 0.180 0.500
V: 0.000 0.820 0.000
In: 0.000 0.637 0.500
In: 0.500 0.363 0.000
F: 0.500 0.158 0.250
F: 0.500 0.158 0.750
F: 0.000 0.842 0.250
F: 0.000 0.842 0.750
F: 0.261 0.998 0.500
F: 0.739 0.998 0.500
F: 0.218 0.321 0.500
F: 0.782 0.321 0.500
F: 0.718 0.679 0.000
F: 0.282 0.679 0.000
F: 0.239 0.002 0.000
F: 0.761 0.002 0.000